Entry 1:
Nd3EuC | PBE | relaxed

Output
For the density of states at the Fermi level, the calculation gives 1.664 states/eV/atom. The formation energy is 107 meV per atom. Its space-group type is Pm-3m (221). The value obtained for the calculated total energy is -33.265 eV/cell.

Lattice parameters (Å, degrees): 5.298 5.298 5.298 90.00 90.00 90.00
Fractional coordinates of all 5 atoms:
Eu (0.500, 0.500, 0.500)
C (0.000, 0.000, 0.000)
Nd (0.000, 0.500, 0.000)
Nd (0.000, 0.000, 0.500)
Nd (0.500, 0.000, 0.000)

***

Entry 2:
TlAg2Ru | PBE | relaxed

Output
For the density of states at the Fermi level, the calculation gives 1.145 states/eV/atom. The formation energy is 570 meV per atom. Its space-group type is R-3m (166). The value obtained for the calculated total energy is -15.066 eV/cell.

Lattice parameters (Å, degrees): 10.116 10.116 10.116 16.93 16.93 16.93
Fractional coordinates of all 4 atoms:
Ag (0.992, 0.992, 0.992)
Ag (0.508, 0.508, 0.508)
Ru (0.250, 0.250, 0.250)
Tl (0.750, 0.750, 0.750)

***

Entry 3:
AsPtC2O | PBE | relaxed

Output
For the density of states at the Fermi level, the calculation gives 0.518 states/eV/atom. Its space-group type is P4/mmm (123). For the uncorrected formation energy, the calculation gives 2031 meV per atom. The value obtained for the calculated total energy is -23.942 eV/cell.

Lattice parameters (Å, degrees): 3.832 4.031 3.832 90.00 90.00 90.00
Fractional coordinates of all 5 atoms:
C (0.000, 0.000, 0.500)
C (0.500, 0.000, 0.000)
As (0.000, 0.500, 0.000)
O (0.000, 0.000, 0.000)
Pt (0.500, 0.500, 0.500)

***

Entry 4:
SiNi2Pb | PBE | relaxed

Output
For the density of states at the Fermi level, the calculation gives 0.916 states/eV/atom. Its space-group type is I-4m2 (119). For the uncorrected formation energy, the calculation gives 299 meV per atom. The value obtained for the calculated total energy is -19.497 eV/cell.

Lattice parameters (Å, degrees): 5.046 5.046 5.046 136.08 136.08 63.86
Fractional coordinates of all 4 atoms:
Ni (0.000, 0.000, 0.000)
Ni (0.250, 0.750, 0.500)
Pb (0.500, 0.500, 0.000)
Si (0.750, 0.250, 0.500)

***

Entry 5:
Al4Ni15Ge | PBE | relaxed

Output
For the density of states at the Fermi level, the calculation gives 1.002 states/eV/atom. The formation energy is -400 meV per atom. Its space-group type is P4/mmm (123). The value obtained for the calculated total energy is -114.309 eV/cell.

Lattice parameters (Å, degrees): 3.567 3.567 17.842 90.00 90.00 90.00
Fractional coordinates of all 20 atoms:
Al (0.000, 0.000, 0.201)
Al (0.000, 0.000, 0.400)
Al (0.000, 0.000, 0.600)
Al (0.000, 0.000, 0.799)
Ni (0.500, 0.500, 0.000)
Ni (0.500, 0.500, 0.200)
Ni (0.500, 0.500, 0.400)
Ni (0.500, 0.500, 0.600)
Ni (0.500, 0.500, 0.800)
Ni (0.500, 0.000, 0.100)
Ni (0.500, 0.000, 0.300)
Ni (0.500, 0.000, 0.500)
Ni (0.500, 0.000, 0.700)
Ni (0.500, 0.000, 0.900)
Ni (0.000, 0.500, 0.100)
Ni (0.000, 0.500, 0.300)
Ni (0.000, 0.500, 0.500)
Ni (0.000, 0.500, 0.700)
Ni (0.000, 0.500, 0.900)
Ge (0.000, 0.000, 0.000)

***

Entry 6:
Hf2ZnInCo | PBE | relaxed

Output
For the density of states at the Fermi level, the calculation gives 0.779 states/eV/atom. The formation energy is 104 meV per atom. Its space-group type is P4/mmm (123). The value obtained for the calculated total energy is -30.507 eV/cell.

Lattice parameters (Å, degrees): 4.728 4.595 4.728 90.00 90.00 90.00
Fractional coordinates of all 5 atoms:
Co (0.000, 0.000, 0.000)
Zn (0.000, 0.500, 0.000)
Hf (0.000, 0.000, 0.500)
Hf (0.500, 0.000, 0.000)
In (0.500, 0.500, 0.500)

***

Entry 7:
Ba3SrP2N | PBE | relaxed

Output
For the density of states at the Fermi level, the calculation gives 0.488 states/eV/atom. Its space-group type is Immm (71). For the uncorrected formation energy, the calculation gives -761 meV per atom. The value obtained for the calculated total energy is -31.921 eV/cell.

Lattice parameters (Å, degrees): 5.124 4.985 9.242 105.64 106.09 90.00
Fractional coordinates of all 7 atoms:
Ba (0.000, 0.500, 0.000)
Ba (0.175, 0.175, 0.350)
Ba (0.825, 0.825, 0.650)
Sr (0.500, 0.000, 0.000)
P (0.633, 0.633, 0.266)
P (0.367, 0.367, 0.734)
N (0.000, 0.000, 0.000)

***

Entry 8:
VHW3 | PBE | relaxed

Output
For the density of states at the Fermi level, the calculation gives 1.142 states/eV/atom. Its space-group type is Pm-3m (221). The value obtained for the calculated total energy is -39.138 eV/cell.

Lattice parameters (Å, degrees): 4.534 4.534 4.534 90.00 90.00 90.00
Fractional coordinates of all 5 atoms:
H (0.500, 0.500, 0.500)
W (0.000, 0.500, 0.000)
W (0.000, 0.000, 0.500)
W (0.500, 0.000, 0.000)
V (0.000, 0.000, 0.000)

***

Entry 9:
Pa2ZnSi | PBE | relaxed

Output
For the density of states at the Fermi level, the calculation gives 1.677 states/eV/atom. Its space-group type is R-3m (166). For the uncorrected formation energy, the calculation gives 238 meV per atom. The value obtained for the calculated total energy is -24.736 eV/cell.

Lattice parameters (Å, degrees): 3.078 3.078 11.149 82.06 82.06 60.00
Fractional coordinates of all 4 atoms:
Zn (0.000, 0.000, 0.000)
Pa (0.094, 0.094, 0.718)
Pa (0.906, 0.906, 0.282)
Si (0.500, 0.500, 0.500)

***

Entry 10:
K2Tl6Cd | PBE | relaxed

Output
For the density of states at the Fermi level, the calculation gives 0.390 states/eV/atom. The formation energy is -78 meV per atom. Its space-group type is C2/m (12). The value obtained for the calculated total energy is -18.014 eV/cell.

Lattice parameters (Å, degrees): 7.582 6.913 6.964 83.77 90.00 123.25
Fractional coordinates of all 9 atoms:
K (0.672, 0.344, 0.145)
K (0.328, 0.656, 0.855)
Tl (0.819, 0.197, 0.670)
Tl (0.851, 0.701, 0.668)
Tl (0.378, 0.197, 0.670)
Tl (0.181, 0.803, 0.330)
Tl (0.149, 0.299, 0.332)
Tl (0.622, 0.803, 0.330)
Cd (0.000, 0.000, 0.000)

***

Entry 11:
H2Se | PBE | relaxed

Output
For the density of states at the Fermi level, the calculation gives 0.054 states/eV/atom. Its space-group type is P-1 (2). The value obtained for the calculated total energy is -20.130 eV/cell.

Lattice parameters (Å, degrees): 6.950 2.961 8.490 96.09 148.15 82.84
Fractional coordinates of all 6 atoms:
H (0.142, 0.369, 0.774)
H (0.858, 0.631, 0.226)
H (0.182, 0.249, 0.720)
H (0.818, 0.751, 0.280)
Se (0.685, 0.024, 0.772)
Se (0.315, 0.976, 0.228)

***

Entry 12:
UPdBr2 | PBE | relaxed

Output
For the density of states at the Fermi level, the calculation gives 2.404 states/eV/atom. Its space-group type is R-3m (166). For the uncorrected formation energy, the calculation gives 93 meV per atom. The value obtained for the calculated total energy is -19.454 eV/cell.

Lattice parameters (Å, degrees): 3.593 3.593 9.411 79.00 79.00 60.00
Fractional coordinates of all 4 atoms:
U (0.000, 0.000, 0.000)
Br (0.099, 0.099, 0.703)
Br (0.901, 0.901, 0.297)
Pd (0.500, 0.500, 0.500)

***

> What is the calculated total energy in the eighth record?

-39.138 eV/cell